[1]
The following is a DFT calculation (PBE) of crystalline AcCeTc at its relaxed geometry.

a b c (Å): 3.5791 3.5791 6.4728
angles (deg): 106.05 106.05 90.00
With the nearest neighbours (Å) after each atom.
Fractional positions:
Ce1 0.6931 0.6931 0.3862  4 Tc 2.93
Ac1 0.9900 0.9900 0.9801  4 Tc 3.27, 5 Ce 3.50-3.54, 4 Ac 3.58
Tc1 0.3169 0.3169 0.6337  4 Ce 2.93, 4 Ac 3.27

Computed properties:
SG: I4mm
Raw total energy, eV/atom: -6.660
ΔE to the lowest computed polymorph, eV per atom: 0.1366
ΔE_f, eV/atom: 0.1425


[2]
The following is a DFT calculation (PBE) of crystalline NiAgCl2 at its relaxed geometry.

a b c (Å): 4.6593 4.6593 3.2810
angles (deg): 90.00 90.00 89.98
With the nearest neighbours (Å) after each atom.
Fractional positions:
Ag1 0.0000 0.5000 0.5000  8 Cl 2.85
Cl1 0.5000 0.5000 0.0000  4 Ag 2.85, 4 Ni 2.85
Ni1 0.5000 0.0000 0.5000  8 Cl 2.85
Cl2 0.0000 0.0000 0.0000  4 Ni 2.85, 4 Ag 2.85

Computed properties:
SG: P4/mmm
Raw total energy, eV/atom: -2.957
ΔE to the lowest computed polymorph, eV per atom: 0.4133


[3]
The following is a DFT calculation (PBE) of crystalline TiV2C at its relaxed geometry.

a b c (Å): 6.9074 6.9074 5.3358
angles (deg): 49.66 49.66 90.00
With the nearest neighbours (Å) after each atom.
Fractional positions:
C1 0.5000 0.5000 0.0000  4 V 2.05, 2 Ti 2.15
V1 0.8750 0.7653 0.7500  2 C 2.05
Ti1 0.7500 0.2500 0.5000  2 C 2.15
V2 0.2347 0.6250 0.2500  2 C 2.05
V3 0.3750 0.4847 0.7500  2 C 2.05
V4 0.5153 0.1250 0.2500  2 C 2.05
Ti2 0.0000 0.0000 0.0000  2 C 2.15
C2 0.2500 0.7500 0.5000  4 V 2.05, 2 Ti 2.15

Computed properties:
SG: I-42d
Raw total energy, eV/atom: -8.846
ΔE_f, eV/atom: -0.0072


[4]
The following is a DFT calculation (PBE) of crystalline TaMnIn2 at its relaxed geometry.

a b c (Å): 4.1772 2.9625 6.7630
angles (deg): 64.20 90.00 90.00
With the nearest neighbours (Å) after each atom.
Fractional positions:
In1 0.0000 0.5064 0.4928  4 Mn 2.95-2.96, 4 In 2.96-3.13, 4 Ta 3.00
Mn1 0.5000 0.2500 0.2500  8 In 2.95-2.96, 2 Mn 2.96, 2 Ta 3.04
Ta1 0.5000 0.7500 0.7500  2 Ta 2.96, 8 In 3.00, 2 Mn 3.04
In2 0.0000 0.9936 0.0072  4 Mn 2.95-2.96, 4 In 2.96-3.13, 4 Ta 3.00

Computed properties:
SG: P2/m
Raw total energy, eV/atom: -6.337
ΔE to the lowest computed polymorph, eV per atom: 0.0940
ΔE_f, eV/atom: 0.2873


[5]
The following is a DFT calculation (PBE) of crystalline Na7I2O2 at its relaxed geometry.

a b c (Å): 6.1311 7.3819 6.1311
angles (deg): 90.00 97.35 90.00
With the nearest neighbours (Å) after each atom.
Fractional positions:
Na1 0.4999 0.8195 0.5001  2 O 2.41, 1 Na 2.66
I1 0.7593 0.5000 0.7593  6 Na 3.16-3.25
Na2 0.0001 0.1887 0.5000  2 O 2.47
Na3 0.5001 0.1805 0.4999  2 O 2.41, 1 Na 2.66
I2 0.2407 0.5000 0.2407  6 Na 3.16-3.25
Na4 0.5000 0.8113 0.0001  2 O 2.47
Na5 0.5000 0.1887 0.9999  2 O 2.47
Na6 0.0000 0.0000 0.0000  2 O 2.59
Na7 0.9999 0.8113 0.5000  2 O 2.47
O1 0.2816 0.0000 0.7184  7 Na 2.41-2.59
O2 0.7184 0.0000 0.2816  7 Na 2.41-2.59

Computed properties:
SG: Cmmm
Raw total energy, eV/atom: -3.013


[6]
The following is a DFT calculation (PBE) of crystalline YPuTcRu at its relaxed geometry.

a b c (Å): 4.7933 4.7933 4.7933
angles (deg): 60.00 60.00 60.00
With the nearest neighbours (Å) after each atom.
Fractional positions:
Tc1 0.7500 0.7500 0.7500  4 Pu 2.94, 4 Y 2.94
Pu1 0.0000 0.0000 0.0000  4 Ru 2.94, 4 Tc 2.94
Y1 0.5000 0.5000 0.5000  4 Tc 2.94, 4 Ru 2.94
Ru1 0.2500 0.2500 0.2500  4 Pu 2.94, 4 Y 2.94

Computed properties:
SG: F-43m
Raw total energy, eV/atom: -10.196
ΔE_f, eV/atom: -0.0868


[7]
The following is a DFT calculation (PBE) of crystalline Be3PtPb at its relaxed geometry.

a b c (Å): 4.5297 4.5297 4.5297
angles (deg): 90.00 90.00 90.00
With the nearest neighbours (Å) after each atom.
Fractional positions:
Be1 0.0000 0.0000 0.5000  2 Pb 2.26
Be2 0.5000 0.0000 0.0000  2 Pb 2.26
Pt1 0.5000 0.5000 0.5000  12 Be 3.20
Be3 0.0000 0.5000 0.0000  2 Pb 2.26
Pb1 0.0000 0.0000 0.0000  6 Be 2.26

Computed properties:
SG: Pm-3m
Raw total energy, eV/atom: -2.800
ΔE to the lowest computed polymorph, eV per atom: 1.2442
ΔE_f, eV/atom: 1.3854


[8]
The following is a DFT calculation (PBE) of crystalline ReMo at its relaxed geometry.

a b c (Å): 3.1385 3.1385 3.1385
angles (deg): 90.00 90.00 90.00
With the nearest neighbours (Å) after each atom.
Fractional positions:
Mo1 0.0000 0.0000 0.0000  8 Re 2.72
Re1 0.5000 0.5000 0.5000  8 Mo 2.72

Computed properties:
SG: Pm-3m
Raw total energy, eV/atom: -11.538
ΔE to the lowest computed polymorph, eV per atom: 0.0091
ΔE_f, eV/atom: 0.1017


[9]
The following is a DFT calculation (PBE) of crystalline TaSbIr2 at its relaxed geometry.

a b c (Å): 4.1070 4.1063 3.9993
angles (deg): 90.00 90.00 90.00
With the nearest neighbours (Å) after each atom.
Fractional positions:
Sb1 0.5000 0.0000 0.5000  8 Ir 2.87, 4 Ta 2.90
Ir1 0.5000 0.5000 0.0000  4 Sb 2.87, 4 Ta 2.87, 4 Ir 2.90
Ir2 0.0000 0.0000 0.0000  4 Ta 2.87, 4 Sb 2.87, 4 Ir 2.90
Ta1 0.0000 0.5000 0.5000  8 Ir 2.87, 4 Sb 2.90

Computed properties:
SG: P4/mmm
Raw total energy, eV/atom: -8.477


[10]
The following is a DFT calculation (PBE) of crystalline CrSn2GeSe at its relaxed geometry.

a b c (Å): 5.5923 4.4169 5.5923
angles (deg): 90.00 90.00 90.00
With the nearest neighbours (Å) after each atom.
Fractional positions:
Se1 0.0000 0.0000 0.0000  2 Cr 2.21
Sn1 0.0000 0.0000 0.5000  2 Se 2.80
Sn2 0.5000 0.0000 0.0000  2 Se 2.80
Cr1 0.0000 0.5000 0.0000  2 Se 2.21
Ge1 0.5000 0.5000 0.5000  8 Sn 3.56, 4 Cr 3.95

Computed properties:
SG: P4/mmm
Raw total energy, eV/atom: -4.301


[11]
The following is a DFT calculation (PBE) of crystalline LaTl3Cl at its relaxed geometry.

a b c (Å): 6.3335 6.3335 6.3335
angles (deg): 90.00 90.00 90.00
With the nearest neighbours (Å) after each atom.
Fractional positions:
La1 0.0000 0.0000 0.0000  6 Tl 3.17
Tl1 0.5000 0.0000 0.0000  2 La 3.17
Tl2 0.0000 0.5000 0.0000  2 La 3.17
Tl3 0.0000 0.0000 0.5000  2 La 3.17
Cl1 0.5000 0.5000 0.5000  12 Tl 4.48

Computed properties:
SG: Pm-3m
Raw total energy, eV/atom: -2.451
ΔE to the lowest computed polymorph, eV per atom: 0.4007


[12]
The following is a DFT calculation (PBE) of crystalline Ca2AlTeC at its relaxed geometry.

a b c (Å): 5.2836 5.2836 3.9401
angles (deg): 90.00 90.00 90.00
With the nearest neighbours (Å) after each atom.
Fractional positions:
C1 0.0000 0.0000 0.0000  2 Al 1.97
Ca1 0.0000 0.5000 0.0000  2 C 2.64
Te1 0.5000 0.5000 0.5000  8 Ca 3.30
Al1 0.0000 0.0000 0.5000  2 C 1.97
Ca2 0.5000 0.0000 0.0000  2 C 2.64

Computed properties:
SG: P4/mmm
Raw total energy, eV/atom: -4.522


| no. | calculated volume (Å³/cell) |
| --- | --- |
| 1 | 76.32 |
| 2 | 71.23 |
| 3 | 102.49 |
| 4 | 75.35 |
| 5 | 275.21 |
| 6 | 77.87 |
| 7 | 92.94 |
| 8 | 30.92 |
| 9 | 67.45 |
| 10 | 138.13 |
| 11 | 254.06 |
| 12 | 109.99 |